SnHgSb2 | GGA-PBE | optimized geometry

The structure in POSCAR format:
```
SnHgSb2
1.0
0.0000 3.7847 3.7847
3.7847 0.0000 3.7847
3.7847 3.7847 0.0000
Hg Sb Sn
1 2 1
direct
0.5000 0.5000 0.5000
0.7500 0.7500 0.7500
0.2500 0.2500 0.2500
0.0000 0.0000 0.0000
```

Calculated values
- raw total energy (eV/f.u.) = -11.8
- space-group type = Fm-3m (225)
- calculated volume (Å³ per cell) = 108
- raw formation energy (eV per formula unit) = 0.721
- D(E_F) (states/eV per cell) = 2.8

***

Li4AcAu4 | GGA-PBE | optimized geometry

The structure in POSCAR format:
```
Li4AcAu4
1.0
4.6664 0.0000 0.0000
0.0000 8.5382 0.0000
0.0000 0.0000 8.5382
Li Au Ac
8 8 2
direct
0.9998 0.9180 0.3775
0.5002 0.5820 0.1225
0.0002 0.3775 0.0820
0.5002 0.4180 0.8775
0.4998 0.8775 0.5820
0.9998 0.0820 0.6225
0.0002 0.6225 0.9180
0.4998 0.1225 0.4180
0.0001 0.6388 0.2558
0.5001 0.7558 0.8612
0.4999 0.1388 0.7558
0.0001 0.3612 0.7442
0.5001 0.2442 0.1388
0.9999 0.7442 0.6388
0.9999 0.2558 0.3612
0.4999 0.8612 0.2442
0.5000 0.5000 0.5000
0.0000 0.0000 0.0000
```

Calculated values
- raw total energy (eV/f.u.) = -29.7
- space-group type = I4/m (87)
- calculated volume (Å³ per cell) = 340
- calculated formation energy (meV/atom) = -532
- D(E_F) (states/eV per cell) = 7.2

***

KWSCl2 | GGA-PBE | optimized geometry

The structure in POSCAR format:
```
KWSCl2
1.0
5.0927 0.0000 0.0000
0.0000 5.0927 0.0000
0.0000 0.0000 4.6268
Cl W S K
2 1 1 1
direct
0.5000 0.0000 0.0000
0.0000 0.5000 0.0000
0.0000 0.0000 0.0000
0.0000 0.0000 0.5000
0.5000 0.5000 0.5000
```

Calculated values
- raw total energy (eV/f.u.) = -25.2
- space-group type = P4/mmm (123)
- calculated volume (Å³ per cell) = 120
- raw formation energy (eV per formula unit) = -3.317
- E above lowest polymorph (eV per atom) = 0.000
- D(E_F) (states/eV per cell) = 2.9

***

What spin magnetization values result from the calculations? In sequence: 0.000, 0.000, 1.573 μB per formula unit.